Compound: Tb6PmSm2Er3
Source: Alexandria via LeMat-Bulk
Functional: GGA-PBE
Structure: relaxed

Structure (CIF):
```
data_Tb6PmSm2Er3
_cell_length_a 6.179
_cell_length_b 10.695
_cell_length_c 11.815
_cell_angle_alpha 90.00
_cell_angle_beta 100.00
_cell_angle_gamma 90.00
_space_group_name_H-M_alt 'C 1 2/m 1'
_space_group_IT_number 12
_space_group_name_Hall '-C 2y'
loop_
_atom_site_label
_atom_site_fract_x
_atom_site_fract_y
_atom_site_fract_z
Tb1 0.248 0.167 0.246
Tb2 0.249 0.500 0.246
Pm1 0.000 0.500 0.500
Sm1 0.000 0.167 0.500
Er1 0.000 0.000 0.000
Er2 0.000 0.333 0.000
```

DOS at the Fermi energy, states/eV per cell: 31.3
Formation energy from the elements, eV per atom: 0.02
Uncorrected energy, eV for the cell shown: -110.9

=====

Compound: Tb4PmSm2Er2
Source: Alexandria via LeMat-Bulk
Functional: GGA-PBE
Structure: relaxed

Structure (CIF):
```
data_Tb4PmSm2Er2
_cell_length_a 18.697
_cell_length_b 3.606
_cell_length_c 9.584
_cell_angle_alpha 90.00
_cell_angle_beta 115.65
_cell_angle_gamma 90.00
_space_group_name_H-M_alt 'C 1 2/m 1'
_space_group_IT_number 12
_space_group_name_Hall '-C 2y'
loop_
_atom_site_label
_atom_site_fract_x
_atom_site_fract_y
_atom_site_fract_z
Tb1 0.019 0.000 0.333
Tb2 0.185 0.500 0.333
Pm1 0.000 0.500 0.000
Sm1 0.148 0.500 0.667
Er1 0.168 0.000 0.002
```

DOS at the Fermi energy, states/eV per cell: 23.4
Formation energy from the elements, eV per atom: 0.01
Uncorrected energy, eV for the cell shown: -83.5

=====

- The highest DOS at the Fermi energy belongs to which entry?
  Tb6PmSm2Er3